# 1
A plane-wave DFT calculation with PBE-GGA was carried out for crystalline Y4Pb3W2C3 at its relaxed geometry.

Output
crystal system	monoclinic
final energy	-93.99	eV/f.u.

abc: 6.0102 6.0103 15.4050
angles: 79.00 79.00 60.61
Last column: nearest neighbours and their distance in Å.
Fractional coordinates of all 24 atoms:
C 0.5000 0.0000 0.0000  2 W 2.13
C 0.7917 0.3538 0.0000  2 W 2.12-2.14
C 0.2083 0.6462 0.0000  2 W 2.12-2.14
C 0.6462 0.2082 0.4999  2 W 2.12-2.14
C 0.0000 0.5000 0.5000  2 W 2.13
C 0.3538 0.7918 0.5001  2 W 2.12-2.14
Pb 0.4180 0.2788 0.2479  2 Pb 3.12-3.16, 4 Y 3.19-3.22, 2 W 3.31-3.36
Pb 0.1264 0.8736 0.2500  2 Pb 3.12, 4 Y 3.19-3.21, 2 W 3.26
Pb 0.7212 0.5820 0.2521  2 Pb 3.12-3.16, 4 Y 3.19-3.22, 2 W 3.31-3.36
Pb 0.2788 0.4180 0.7479  2 Pb 3.12-3.16, 4 Y 3.19-3.22, 2 W 3.31-3.36
Pb 0.8736 0.1264 0.7500  2 Pb 3.12, 4 Y 3.19-3.21, 2 W 3.26
Pb 0.5820 0.7212 0.7521  2 Pb 3.12-3.16, 4 Y 3.19-3.22, 2 W 3.31-3.36
W 0.4791 0.6631 0.0656  3 C 2.12-2.14
W 0.3369 0.5209 0.4344  3 C 2.12-2.14
W 0.6631 0.4791 0.5656  3 C 2.12-2.14
W 0.5209 0.3369 0.9344  3 C 2.12-2.14
Y 0.8157 0.9579 0.0901  3 C 2.45-2.53
Y 0.1239 0.3036 0.0902  3 C 2.47-2.51
Y 0.6964 0.8761 0.4098  3 C 2.47-2.51
Y 0.0420 0.1844 0.4099  3 C 2.45-2.53
Y 0.9580 0.8156 0.5901  3 C 2.45-2.53
Y 0.3036 0.1239 0.5902  3 C 2.47-2.51
Y 0.8761 0.6964 0.9098  3 C 2.47-2.51
Y 0.1843 0.0421 0.9099  3 C 2.45-2.53

---

# 2
A plane-wave DFT calculation with PBE-GGA was carried out for crystalline Zr2Pb3W4C3 at its relaxed geometry.

Output
crystal system	monoclinic
final energy	-107.01	eV/f.u.

abc: 5.7386 5.7386 14.3554
angles: 100.70 100.70 60.00
Last column: nearest neighbours and their distance in Å.
Fractional coordinates of all 24 atoms:
C 0.5000 0.0000 0.0000  4 W 2.14-2.16, 2 Zr 2.32
C 0.8460 0.3274 0.0000  4 W 2.14-2.16, 2 Zr 2.33
C 0.1540 0.6726 0.0000  4 W 2.14-2.16, 2 Zr 2.33
C 0.3274 0.8460 0.5000  4 W 2.14-2.16, 2 Zr 2.33
C 0.0000 0.5000 0.5000  4 W 2.14-2.16, 2 Zr 2.32
C 0.6726 0.1540 0.5000  4 W 2.14-2.16, 2 Zr 2.33
Pb 0.5825 0.7744 0.2493  2 Zr 3.02-3.05, 4 W 3.04-3.16, 4 Pb 3.20
Pb 0.9392 0.0608 0.2500  2 Zr 3.04, 4 W 3.08-3.16, 4 Pb 3.20
Pb 0.2256 0.4175 0.2507  2 Zr 3.02-3.05, 4 W 3.04-3.16, 4 Pb 3.20
Pb 0.7744 0.5825 0.7493  2 Zr 3.02-3.05, 4 W 3.04-3.16, 4 Pb 3.20
Pb 0.0608 0.9392 0.7500  2 Zr 3.04, 4 W 3.08-3.16, 4 Pb 3.20
Pb 0.4175 0.2256 0.7507  2 Zr 3.02-3.05, 4 W 3.04-3.16, 4 Pb 3.20
W 0.8477 0.6885 0.0721  3 C 2.14-2.16
W 0.1950 0.0134 0.0724  3 C 2.14-2.16
W 0.9866 0.8050 0.4276  3 C 2.14-2.16
W 0.3115 0.1523 0.4279  3 C 2.14-2.16
W 0.6885 0.8477 0.5721  3 C 2.14-2.16
W 0.0134 0.1950 0.5724  3 C 2.14-2.16
W 0.8050 0.9866 0.9276  3 C 2.14-2.16
W 0.1523 0.3115 0.9279  3 C 2.14-2.16
Zr 0.5287 0.3655 0.0905  3 C 2.32-2.33
Zr 0.6345 0.4713 0.4095  3 C 2.32-2.33
Zr 0.3655 0.5287 0.5905  3 C 2.32-2.33
Zr 0.4713 0.6345 0.9095  3 C 2.32-2.33

---

# 3
A plane-wave DFT calculation with PBE-GGA was carried out for crystalline Y4ZnPbC2 at its relaxed geometry.

Output
crystal system	hexagonal
final energy	-52.22	eV/f.u.

abc: 3.6371 3.6371 15.5036
angles: 90.00 90.00 120.00
Last column: nearest neighbours and their distance in Å.
Fractional coordinates of all 8 atoms:
C 0.3333 0.6667 0.2402  6 Y 2.48-2.50
C 0.3333 0.6667 0.7598  6 Y 2.48-2.50
Pb 0.6667 0.3333 0.5000  6 Y 3.42, 6 Pb 3.64
Y 0.6667 0.3333 0.1524  3 C 2.50
Y 0.0000 0.0000 0.3256  3 C 2.48
Y 0.0000 0.0000 0.6744  3 C 2.48
Y 0.6667 0.3333 0.8476  3 C 2.50
Zn 0.0000 0.0000 0.0000  6 Y 3.16

---

Question: What is the final energy in the third record?
Answer: -52.22 eV/f.u.